No. 1
VASP calculation (GGA-PBE) on crystalline Pa3Ni5Te12 at its relaxed geometry.

Summary:
raw formation energy	-8.36	eV per formula unit

Unit cell a=14.0875 b=14.0875 c=14.0875 alpha=109.47 beta=109.47 gamma=109.47
Closest atoms and distances in Å follow each position.
Fractional positions:
1 Pa 0.1250 0.2500 0.3750  8 Te 3.16
2 Pa 0.1250 0.3750 0.7500  8 Te 3.16
3 Pa 0.2500 0.3750 0.1250  8 Te 3.16
4 Pa 0.2500 0.8750 0.6250  8 Te 3.16
5 Pa 0.3750 0.1250 0.2500  8 Te 3.16
6 Pa 0.3750 0.7500 0.1250  8 Te 3.16
7 Pa 0.6250 0.2500 0.8750  8 Te 3.16
8 Pa 0.6250 0.8750 0.7500  8 Te 3.16
9 Pa 0.7500 0.1250 0.3750  8 Te 3.16
10 Pa 0.7500 0.6250 0.8750  8 Te 3.16
11 Pa 0.8750 0.6250 0.2500  8 Te 3.16
12 Pa 0.8750 0.7500 0.6250  8 Te 3.16
13 Ni 0.0000 0.0000 0.0000  6 Te 2.63
14 Ni 0.0000 0.0000 0.5000  6 Te 2.63
15 Ni 0.0000 0.5000 0.0000  6 Te 2.63
16 Ni 0.0000 0.5000 0.5000  6 Te 2.63
17 Ni 0.1250 0.7500 0.8750  4 Te 2.48
18 Ni 0.1250 0.8750 0.2500  4 Te 2.48
19 Ni 0.2500 0.1250 0.8750  4 Te 2.48
20 Ni 0.2500 0.6250 0.3750  4 Te 2.48
21 Ni 0.3750 0.2500 0.6250  4 Te 2.48
22 Ni 0.3750 0.6250 0.7500  4 Te 2.48
23 Ni 0.5000 0.0000 0.0000  6 Te 2.63
24 Ni 0.5000 0.0000 0.5000  6 Te 2.63
25 Ni 0.5000 0.5000 0.0000  6 Te 2.63
26 Ni 0.5000 0.5000 0.5000  6 Te 2.63
27 Ni 0.6250 0.3750 0.2500  4 Te 2.48
28 Ni 0.6250 0.7500 0.3750  4 Te 2.48
29 Ni 0.7500 0.3750 0.6250  4 Te 2.48
30 Ni 0.7500 0.8750 0.1250  4 Te 2.48
31 Ni 0.8750 0.1250 0.7500  4 Te 2.48
32 Ni 0.8750 0.2500 0.1250  4 Te 2.48
33 Te 0.0299 0.2066 0.1183  2 Ni 2.48-2.63
34 Te 0.0299 0.3234 0.9116  2 Ni 2.48-2.63
35 Te 0.0884 0.6183 0.4118  2 Ni 2.48-2.63
36 Te 0.0882 0.7066 0.6766  2 Ni 2.48-2.63
37 Te 0.0882 0.8817 0.4116  2 Ni 2.48-2.63
38 Te 0.0884 0.9701 0.6766  2 Ni 2.48-2.63
39 Te 0.1183 0.0299 0.2066  2 Ni 2.48-2.63
40 Te 0.1183 0.5884 0.9118  2 Ni 2.48-2.63
41 Te 0.1766 0.2066 0.5882  2 Ni 2.48-2.63
42 Te 0.1766 0.4701 0.5884  2 Ni 2.48-2.63
43 Te 0.2066 0.1183 0.0299  2 Ni 2.48-2.63
44 Te 0.2066 0.5882 0.1766  2 Ni 2.48-2.63
45 Te 0.2934 0.3234 0.9118  2 Ni 2.48-2.63
46 Te 0.2934 0.4701 0.3817  2 Ni 2.48-2.63
47 Te 0.3234 0.9116 0.0299  2 Ni 2.48-2.63
48 Te 0.3234 0.9118 0.2934  2 Ni 2.48-2.63
49 Te 0.3817 0.2934 0.4701  2 Ni 2.48-2.63
50 Te 0.3817 0.5882 0.9116  2 Ni 2.48-2.63
51 Te 0.4118 0.0884 0.6183  2 Ni 2.48-2.63
52 Te 0.4116 0.0882 0.8817  2 Ni 2.48-2.63
53 Te 0.4116 0.8234 0.5299  2 Ni 2.48-2.63
54 Te 0.4118 0.8234 0.7934  2 Ni 2.48-2.63
55 Te 0.4701 0.3817 0.2934  2 Ni 2.48-2.63
56 Te 0.4701 0.5884 0.1766  2 Ni 2.48-2.63
57 Te 0.5299 0.4116 0.8234  2 Ni 2.48-2.63
58 Te 0.5299 0.6183 0.7066  2 Ni 2.48-2.63
59 Te 0.5882 0.1766 0.2066  2 Ni 2.48-2.63
60 Te 0.5884 0.1766 0.4701  2 Ni 2.48-2.63
61 Te 0.5884 0.9118 0.1183  2 Ni 2.48-2.63
62 Te 0.5882 0.9116 0.3817  2 Ni 2.48-2.63
63 Te 0.6183 0.4118 0.0884  2 Ni 2.48-2.63
64 Te 0.6183 0.7066 0.5299  2 Ni 2.48-2.63
65 Te 0.6766 0.0882 0.7066  2 Ni 2.48-2.63
66 Te 0.6766 0.0884 0.9701  2 Ni 2.48-2.63
67 Te 0.7066 0.5299 0.6183  2 Ni 2.48-2.63
68 Te 0.7066 0.6766 0.0882  2 Ni 2.48-2.63
69 Te 0.7934 0.4118 0.8234  2 Ni 2.48-2.63
70 Te 0.7934 0.8817 0.9701  2 Ni 2.48-2.63
71 Te 0.8234 0.5299 0.4116  2 Ni 2.48-2.63
72 Te 0.8234 0.7934 0.4118  2 Ni 2.48-2.63
73 Te 0.8817 0.4116 0.0882  2 Ni 2.48-2.63
74 Te 0.8817 0.9701 0.7934  2 Ni 2.48-2.63
75 Te 0.9116 0.0299 0.3234  2 Ni 2.48-2.63
76 Te 0.9118 0.1183 0.5884  2 Ni 2.48-2.63
77 Te 0.9118 0.2934 0.3234  2 Ni 2.48-2.63
78 Te 0.9116 0.3817 0.5882  2 Ni 2.48-2.63
79 Te 0.9701 0.6766 0.0884  2 Ni 2.48-2.63
80 Te 0.9701 0.7934 0.8817  2 Ni 2.48-2.63


No. 2
VASP calculation (GGA-PBE) on crystalline LaSc2Se at its relaxed geometry.

Summary:
raw formation energy	-2.76	eV per formula unit

Unit cell a=3.8647 b=4.4963 c=6.1981 alpha=90.00 beta=108.05 gamma=90.00
Closest atoms and distances in Å follow each position.
Fractional positions:
1 La 0.0000 0.0000 0.0000  4 Se 3.15-3.16, 3 Sc 3.20-3.32
2 Sc 0.2719 0.0000 0.5423  2 Se 2.77, 4 Sc 3.05
3 Sc 0.7123 0.5000 0.4230  2 Se 3.02, 4 Sc 3.05
4 Se 0.4089 0.5000 0.8168  4 Sc 2.77-3.02


No. 3
VASP calculation (GGA-PBE) on crystalline SrSb2AsI at its relaxed geometry.

Summary:
raw formation energy	3.63	eV per formula unit
energy above the lowest structure with this stoichiometry	0.8248	eV/atom

Unit cell a=6.3571 b=6.3571 c=6.1170 alpha=90.00 beta=90.00 gamma=90.00
Closest atoms and distances in Å follow each position.
Fractional positions:
1 Sr 0.0000 0.0000 0.0000  2 I 3.06, 4 Sb 3.18
2 Sb 0.0000 0.5000 0.0000  2 Sr 3.18
3 Sb 0.5000 0.0000 0.0000  2 Sr 3.18
4 As 0.5000 0.5000 0.5000  8 Sb 4.41, 4 I 4.50
5 I 0.0000 0.0000 0.5000  2 Sr 3.06


No. 4
VASP calculation (GGA-PBE) on crystalline RbTlZn3 at its relaxed geometry.

Summary:
E_form	0.306	eV/atom
energy above the lowest structure with this stoichiometry	0.0000	eV/atom

Unit cell a=5.5632 b=5.5632 c=5.5632 alpha=90.00 beta=90.00 gamma=90.00
Closest atoms and distances in Å follow each position.
Fractional positions:
1 Rb 0.0000 0.0000 0.0000  12 Zn 3.93
2 Tl 0.5000 0.5000 0.5000  6 Zn 2.78
3 Zn 0.0000 0.5000 0.5000  2 Tl 2.78
4 Zn 0.5000 0.0000 0.5000  2 Tl 2.78
5 Zn 0.5000 0.5000 0.0000  2 Tl 2.78


No. 5
VASP calculation (GGA-PBE) on crystalline CeScInPb at its relaxed geometry.

Summary:
E_form	-0.327	eV/atom

Unit cell a=5.3247 b=5.3247 c=5.3247 alpha=60.00 beta=60.00 gamma=60.00
Closest atoms and distances in Å follow each position.
Fractional positions:
1 Ce 0.0000 0.0000 0.0000  4 In 3.26, 4 Pb 3.26
2 Sc 0.5000 0.5000 0.5000  4 In 3.26, 4 Pb 3.26
3 In 0.7500 0.7500 0.7500  4 Sc 3.26, 4 Ce 3.26
4 Pb 0.2500 0.2500 0.2500  4 Ce 3.26, 4 Sc 3.26


Which formula does entry 4 have?
RbTlZn3


Which formula does entry 5 have?
CeScInPb